Computed, not measured: crystalline La2YAs3Rh4 at its relaxed geometry at the PBE-GGA level of DFT.

Results
Space-group type: P-4m2
N(E_F): 0.556 states/eV per atom
Energy of formation from the pure elements: -1.00 eV/atom
Total energy: -69.64 eV for the cell shown

POSCAR file:
```
La2YAs3Rh4
1.0
-2.554 -2.083 -2.544
0.388 -3.390 2.385
-9.056 3.400 6.307
Rh As La Y
4 3 2 1
direct
0.000 0.500 0.338
0.500 0.500 0.000
0.500 0.000 0.662
0.000 0.000 0.000
0.000 0.500 0.125
0.500 0.000 0.875
0.000 0.000 0.500
0.000 0.500 0.772
0.500 0.000 0.228
0.500 0.500 0.500
```

Computed, not measured: crystalline Li2MgCd2Pd5 at its relaxed geometry at the PBE-GGA level of DFT.

Results
Space-group type: P4/mbm
N(E_F): 0.300 states/eV per atom
Energy of formation from the pure elements: -0.42 eV/atom
Total energy: -74.88 eV for the cell shown

POSCAR file:
```
Li2MgCd2Pd5
1.0
-3.025 -0.446 1.995
4.832 -4.916 6.229
1.925 7.801 4.664
Pd Li Cd Mg
10 4 4 2
direct
0.500 0.928 0.203
0.500 0.072 0.797
0.500 0.572 0.703
0.500 0.500 0.000
0.500 0.797 0.928
0.500 0.000 0.500
0.500 0.703 0.428
0.500 0.203 0.072
0.500 0.297 0.572
0.500 0.428 0.297
0.000 0.623 0.877
0.000 0.377 0.123
0.000 0.123 0.623
0.000 0.877 0.377
0.000 0.674 0.174
0.000 0.326 0.826
0.000 0.174 0.326
0.000 0.826 0.674
0.000 0.000 0.000
0.000 0.500 0.500
```

Computed, not measured: crystalline Zn2SnSb2 at its relaxed geometry at the PBE-GGA level of DFT.

Results
Space-group type: I4/mmm
N(E_F): 0.257 states/eV per atom
Energy relative to the elements, uncorrected: 0.953 eV/f.u.
Total energy: -13.84 eV for the cell shown

POSCAR file:
```
Zn2SnSb2
1.0
4.645 0.000 0.000
0.000 4.645 0.000
2.322 2.322 5.765
Zn Sb Sn
2 2 1
direct
0.396 0.396 0.208
0.604 0.604 0.792
0.750 0.250 0.500
0.250 0.750 0.500
0.000 0.000 0.000
```

Computed, not measured: crystalline Nd8TlGa2 at its relaxed geometry at the PBE-GGA level of DFT.

Results
Space-group type: Immm
Polymorph energy (0 for the lowest one): 42 meV/atom
N(E_F): 1.116 states/eV per atom
Energy of formation from the pure elements: -0.22 eV/atom
Total energy: -48.95 eV for the cell shown

POSCAR file:
```
Nd8TlGa2
1.0
0.832 -2.343 -4.403
4.245 -6.366 4.189
-9.011 0.561 0.902
Nd Tl Ga
8 1 2
direct
0.338 0.119 0.676
0.338 0.557 0.676
0.145 0.145 0.290
0.000 0.684 0.000
0.662 0.443 0.324
0.855 0.855 0.710
0.000 0.316 0.000
0.662 0.881 0.324
0.500 0.000 0.000
0.193 0.693 0.386
0.807 0.307 0.614
```

Computed, not measured: crystalline BaIn6Pd12 at its relaxed geometry at the PBE-GGA level of DFT.

Results
Space-group type: R-3m
N(E_F): 0.309 states/eV per atom
Energy of formation from the pure elements: -0.40 eV/atom
Total energy: -88.25 eV for the cell shown

POSCAR file:
```
BaIn6Pd12
1.0
-1.924 6.363 3.664
-4.610 -0.327 -6.021
-2.204 -5.676 4.532
Pd In Ba
12 6 1
direct
0.114 0.500 0.886
0.858 0.609 0.609
0.886 0.500 0.114
0.500 0.114 0.886
0.391 0.391 0.142
0.114 0.886 0.500
0.609 0.609 0.858
0.142 0.391 0.391
0.391 0.142 0.391
0.500 0.886 0.114
0.886 0.114 0.500
0.609 0.858 0.609
0.721 0.294 0.721
0.721 0.721 0.294
0.294 0.721 0.721
0.706 0.279 0.279
0.279 0.279 0.706
0.279 0.706 0.279
0.000 0.000 0.000
```

Computed, not measured: crystalline ScTlCd2 at its relaxed geometry at the PBE-GGA level of DFT.

Results
Space-group type: Imma
Polymorph energy (0 for the lowest one): 56 meV/atom
N(E_F): 0.742 states/eV per atom
Energy of formation from the pure elements: -0.12 eV/atom
Total energy: -22.05 eV for the cell shown

POSCAR file:
```
ScTlCd2
1.0
5.494 0.000 3.024
2.470 5.440 2.016
0.120 -0.506 6.284
Tl Cd Sc
2 4 2
direct
0.250 0.796 0.704
0.750 0.204 0.296
0.795 0.705 0.205
0.705 0.295 0.795
0.205 0.295 0.795
0.295 0.705 0.205
0.250 0.209 0.291
0.750 0.791 0.709
```